[1]
Entry from the Alexandria database: a relaxed structure of SrPtPbCl2 (PBE-GGA).

Computed properties:
Space-group type: No. 123
Spin magnetization (Bohr magnetons per cell): 0.0
Formation energy without anion corrections (eV per atom): -0.503

a = 5.080 Å, b = 5.080 Å, c = 5.517 Å
α = 90.00°, β = 90.00°, γ = 90.00°
Positions (direct):
1 Sr 0.000 0.000 0.000
2 Pt 0.500 0.500 0.500
3 Pb 0.500 0.500 0.000
4 Cl 0.000 0.500 0.500
5 Cl 0.500 0.000 0.500

[2]
Entry from the Alexandria database: a relaxed structure of Tl2PtPbCl (PBE-GGA).

Computed properties:
Space-group type: No. 123
Spin magnetization (Bohr magnetons per cell): 0.0
Formation energy without anion corrections (eV per atom): -0.306

a = 5.408 Å, b = 5.408 Å, c = 5.406 Å
α = 90.00°, β = 90.00°, γ = 90.00°
Positions (direct):
1 Tl 0.000 0.500 0.000
2 Tl 0.500 0.000 0.000
3 Pt 0.000 0.000 0.000
4 Pb 0.000 0.000 0.500
5 Cl 0.500 0.500 0.500

[3]
Entry from the Alexandria database: a relaxed structure of PuPb2Cl6 (PBE-GGA).

Computed properties:
Space-group type: No. 12
Spin magnetization (Bohr magnetons per cell): 5.8
Formation energy without anion corrections (eV per atom): -1.337

a = 7.458 Å, b = 7.458 Å, c = 9.854 Å
α = 95.59°, β = 95.59°, γ = 33.83°
Positions (direct):
1 Pu 0.000 0.000 0.000
2 Pb 0.307 0.307 0.686
3 Pb 0.693 0.693 0.314
4 Cl 0.055 0.055 0.284
5 Cl 0.326 0.326 0.403
6 Cl 0.372 0.372 0.006
7 Cl 0.628 0.628 0.994
8 Cl 0.674 0.674 0.597
9 Cl 0.945 0.945 0.716

formation energy without anion corrections of number 2 (Tl2PtPbCl)? -0.306 eV per atom

Which formula does entry 1 have? SrPtPbCl2

Which of these has the lowest formation energy without anion corrections? PuPb2Cl6